Record 1
KAl2Ir: single point on PBEsol structure, meta-GGA SCAN.

Unit cell a=2.991 b=4.284 c=7.320 alpha=95.85 beta=90.00 gamma=110.43
Atoms (fractional coordinates):
K: 0.500 0.000 0.000
Ir: 0.000 0.000 0.500
Al: 0.726 0.452 0.651
Al: 0.274 0.548 0.349

Results
N(E_F)   1.9 states/eV/cell
E above lowest polymorph   0 meV/atom
SG   C2/m

---

Record 2
ZnMo2O4: single point on PBEsol structure, meta-GGA SCAN.

Unit cell a=5.997 b=5.997 c=5.997 alpha=60.00 beta=60.00 gamma=60.00
Last column: magnetic moment on the atom in μB.
Atoms (fractional coordinates):
Zn: 0.875 0.875 0.875  -0.01
Zn: 0.125 0.125 0.125  -0.01
Mo: 0.500 0.500 0.000  -1.01
Mo: 0.500 0.000 0.500  -1.01
Mo: 0.000 0.500 0.500  -1.01
Mo: 0.500 0.500 0.500  1.94
O: 0.252 0.743 0.252  -0.02
O: 0.743 0.252 0.252  -0.02
O: 0.252 0.252 0.252  -0.01
O: 0.748 0.748 0.257  -0.02
O: 0.748 0.748 0.748  -0.01
O: 0.257 0.748 0.748  -0.02
O: 0.252 0.252 0.743  -0.02
O: 0.748 0.257 0.748  -0.02

Results
N(E_F)   4.1 states/eV/cell
E above lowest polymorph   122 meV/atom
SG   Fd-3m
Formation energy without anion corrections   -1.59 eV per atom

---

Record 3
Mn5P6WO24: single point on PBEsol structure, meta-GGA SCAN.

Unit cell a=8.569 b=8.569 c=8.569 alpha=60.51 beta=60.51 gamma=60.51
Last column: magnetic moment on the atom in μB.
Atoms (fractional coordinates):
P: 0.956 0.252 0.548  0.03
P: 0.548 0.956 0.252  0.03
P: 0.252 0.548 0.956  0.03
P: 0.743 0.460 0.046  0.03
P: 0.460 0.046 0.743  0.03
P: 0.046 0.743 0.460  0.03
Mn: 0.993 0.993 0.993  4.60
Mn: 0.644 0.644 0.644  4.31
Mn: 0.500 0.500 0.500  4.58
Mn: 0.853 0.853 0.853  3.98
Mn: 0.356 0.356 0.356  3.81
O: 0.504 0.113 0.317  0.02
O: 0.317 0.504 0.113  0.02
O: 0.113 0.317 0.504  0.02
O: 0.940 0.089 0.739  0.03
O: 0.020 0.174 0.383  0.00
O: 0.764 0.408 0.542  0.03
O: 0.739 0.940 0.089  0.03
O: 0.542 0.764 0.408  0.03
O: 0.812 0.613 0.007  0.01
O: 0.408 0.542 0.764  0.03
O: 0.912 0.257 0.079  0.01
O: 0.613 0.007 0.812  0.01
O: 0.383 0.020 0.174  0.00
O: 0.089 0.739 0.940  0.03
O: 0.586 0.438 0.243  0.01
O: 0.174 0.383 0.020  0.00
O: 0.438 0.243 0.586  0.01
O: 0.257 0.079 0.912  0.01
O: 0.243 0.586 0.438  0.01
O: 0.007 0.812 0.613  0.01
O: 0.079 0.912 0.257  0.01
O: 0.887 0.700 0.476  0.03
O: 0.700 0.476 0.887  0.03
O: 0.476 0.887 0.700  0.03
W: 0.143 0.143 0.143  0.15

Results
N(E_F)   10.0 states/eV/cell
SG   R3
Formation energy without anion corrections   -2.33 eV per atom

---

Record 4
K3LiPb4: single point on PBEsol structure, meta-GGA SCAN.

Unit cell a=6.872 b=8.707 c=10.342 alpha=90.00 beta=90.00 gamma=113.24
Atoms (fractional coordinates):
K: 0.777 0.554 0.250
K: 0.223 0.446 0.750
K: 0.387 0.773 0.456
K: 0.613 0.227 0.544
K: 0.613 0.227 0.956
K: 0.387 0.773 0.044
Li: 0.000 0.000 0.500
Li: 0.000 0.000 0.000
Pb: 0.803 0.072 0.250
Pb: 0.197 0.928 0.750
Pb: 0.269 0.072 0.250
Pb: 0.731 0.928 0.750
Pb: 0.172 0.344 0.398
Pb: 0.828 0.656 0.602
Pb: 0.828 0.656 0.898
Pb: 0.172 0.344 0.102

Results
DFT total energy   -41.72 eV per atom
N(E_F)   0.1 states/eV/cell
SG   Cmcm

---

Record 5
SbP2S2: single point on PBEsol structure, meta-GGA SCAN.

Unit cell a=4.601 b=4.444 c=4.444 alpha=90.00 beta=90.00 gamma=90.00
Atoms (fractional coordinates):
Sb: 0.500 0.500 0.500
S: 0.000 0.000 0.500
S: 0.000 0.500 0.000
P: 0.000 0.000 0.000
P: 0.500 0.000 0.000

Results
N(E_F)   2.7 states/eV/cell
E above lowest polymorph   0 meV/atom
SG   P4/mmm
Formation energy without anion corrections   0.51 eV per atom

---

Record 6
CaMgAg: single point on PBEsol structure, meta-GGA SCAN.

Unit cell a=3.550 b=3.550 c=6.169 alpha=106.72 beta=106.72 gamma=90.00
Atoms (fractional coordinates):
Ca: 0.654 0.654 0.309
Mg: 0.364 0.364 0.728
Ag: 0.982 0.982 0.964

Results
DFT total energy   -15.56 eV per atom
N(E_F)   1.8 states/eV/cell
SG   I4mm